{"formula": "Te2H2Pb", "functional": "PBEsol", "state": "optimized geometry", "lattice": [[8.767, 0.000, 0.000], [0.000, 8.767, 0.000], [0.000, 0.000, 3.415]], "species": ["Te", "Te", "Te", "Te", "H", "H", "H", "H", "Pb", "Pb"], "fractional_positions": [[0.185, 0.315, 0.000], [0.315, 0.815, 0.000], [0.685, 0.185, 0.000], [0.815, 0.685, 0.000], [0.243, 0.743, 0.500], [0.257, 0.243, 0.500], [0.743, 0.757, 0.500], [0.757, 0.257, 0.500], [0.000, 0.000, 0.000], [0.500, 0.500, 0.000]], "rho_g_cm3": 5.9, "total_magnetization_mub_per_fu": 0.00, "dft_energy_ev_per_atom": -3.2624, "crystal_system": "tetragonal"}